Entry 1:
First-principles (PBE) data for Mg12Cd5In2 after structural relaxation, as listed in Alexandria via LeMat-Bulk.

Unit cell a=8.588 b=8.588 c=9.793 alpha=101.73 beta=101.73 gamma=42.20
Sites, in units of the cell vectors:
Mg (0.024, 0.024, 0.344)
Mg (0.051, 0.549, 0.881)
Mg (0.095, 0.611, 0.378)
Mg (0.362, 0.362, 0.657)
Mg (0.389, 0.905, 0.622)
Mg (0.451, 0.949, 0.119)
Mg (0.549, 0.051, 0.881)
Mg (0.611, 0.095, 0.378)
Mg (0.638, 0.638, 0.343)
Mg (0.905, 0.389, 0.622)
Mg (0.949, 0.451, 0.119)
Mg (0.976, 0.976, 0.656)
Cd (0.131, 0.131, 0.872)
Cd (0.204, 0.204, 0.388)
Cd (0.500, 0.500, 0.500)
Cd (0.796, 0.796, 0.612)
Cd (0.869, 0.869, 0.128)
In (0.259, 0.741, 0.000)
In (0.741, 0.259, 0.000)

Output
density	3.80	g/cm³
total moment	0.00	μB/f.u.
energy of formation	37	meV per atom
DOS(E_F)	8.1	states/eV/f.u.

=====

Entry 2:
First-principles (PBE) data for MgCd2In9 after structural relaxation, as listed in Alexandria via LeMat-Bulk.

Unit cell a=4.697 b=4.697 c=14.054 alpha=90.00 beta=90.00 gamma=90.00
Sites, in units of the cell vectors:
Mg (0.000, 0.000, 0.000)
Cd (0.000, 0.000, 0.333)
Cd (0.000, 0.000, 0.667)
In (0.000, 0.500, 0.164)
In (0.000, 0.500, 0.500)
In (0.000, 0.500, 0.836)
In (0.500, 0.000, 0.164)
In (0.500, 0.000, 0.500)
In (0.500, 0.000, 0.836)
In (0.500, 0.500, 0.000)
In (0.500, 0.500, 0.331)
In (0.500, 0.500, 0.669)

Output
density	6.87	g/cm³
total moment	0.00	μB/f.u.
energy of formation	7	meV per atom
DOS(E_F)	5.3	states/eV/f.u.

=====

Calculated volume readings, ordered: 473.5; 310.1 Å³ per cell